[1]
A relaxed structure of Y8NiIr2. Source: Alexandria via LeMat-Bulk, functional PBE-GGA.

Properties
- DFT formation energy: -0.35 eV per atom
- SG: Cm (8)
- Uncorrected energy: -79.063 eV/f.u.

Unit cell a=6.042 b=7.470 c=7.470 alpha=110.90 beta=100.33 gamma=100.33
Fractional positions:
Ir: 0.485 0.321 0.693
Y: 0.987 0.788 0.210
Y: 0.587 0.081 0.345
Y: 0.796 0.643 0.643
Y: 0.987 0.210 0.788
Y: 0.587 0.345 0.081
Ir: 0.485 0.693 0.321
Ni: 0.169 0.999 0.999
Y: 0.371 0.665 0.929
Y: 0.371 0.929 0.665
Y: 0.175 0.361 0.361

[2]
A relaxed structure of PmSiN. Source: Alexandria via LeMat-Bulk, functional PBE-GGA.

Properties
- SG: Cmce (64)
- Uncorrected energy: -20.413 eV/f.u.
- Formation energy from raw total energies: -0.6380 eV per atom

Unit cell a=5.532 b=6.526 c=6.230 alpha=90.00 beta=90.00 gamma=115.07
Fractional positions:
Si: 0.123 0.246 0.138
N: 0.709 0.918 0.750
Si: 0.623 0.246 0.362
N: 0.209 0.918 0.750
Pm: 0.126 0.253 0.597
Pm: 0.874 0.747 0.403
Pm: 0.374 0.747 0.097
N: 0.791 0.082 0.250
Si: 0.377 0.754 0.638
N: 0.291 0.082 0.250
Si: 0.877 0.754 0.862
Pm: 0.626 0.253 0.903

[3]
A relaxed structure of V2NiSe4. Source: Alexandria via LeMat-Bulk, functional PBE-GGA.

Properties
- SG: I4/m (87)
- Uncorrected energy: -40.396 eV/f.u.
- Formation energy from raw total energies: -0.3485 eV per atom
- Excess energy over the best structure of this formula in the dataset: 1.726 eV/f.u.

Unit cell a=6.459 b=6.459 c=6.459 alpha=102.57 beta=102.57 gamma=124.39
Each line ends with the local moment (μB).
Fractional positions:
Ni: 0.500 0.500 0.000  -0.29
Se: 0.572 0.785 0.358  -0.09
Se: 0.215 0.572 0.787  -0.09
V: 0.750 0.250 0.500  1.23
Se: 0.785 0.428 0.213  -0.09
V: 0.250 0.750 0.500  1.23
Se: 0.428 0.215 0.642  -0.09